# Fe5Ge2 | Alexandria | GGA-PBE | relaxed
# Crystal system = monoclinic
# Formation energy from the elements = -53 meV/atom
data_Fe5Ge2
_chemical_formula_sum 'Fe10 Ge4'
_symmetry_space_group_name_H-M 'C 1 2/m 1'
_symmetry_Int_Tables_number 12
_symmetry_space_group_name_Hall '-C 2y'
_cell_length_a 8.459
_cell_length_b 3.204
_cell_length_c 6.380
_cell_angle_alpha 90.00
_cell_angle_beta 95.61
_cell_angle_gamma 90.00
loop_
_atom_site_label
_atom_site_type_symbol
_atom_site_fract_x
_atom_site_fract_y
_atom_site_fract_z
_atom_site_occupancy
Fe1 Fe 0.000 0.000 0.000 1
Fe2 Fe 0.140 0.000 0.428 1
Fe3 Fe 0.206 0.500 0.142 1
Ge1 Ge 0.081 0.500 0.724 1

# HfGaN2 | Alexandria | GGA-PBE | relaxed
# Formation energy (no corrections) = 0.16 eV/atom
# Crystal system = trigonal
data_HfGaN2
_chemical_formula_sum 'Hf3 Ga3 N6'
_symmetry_space_group_name_H-M 'R -3 m'
_symmetry_Int_Tables_number 166
_symmetry_space_group_name_Hall '-R 3 2"'
_cell_length_a 3.2255
_cell_length_b 3.2255
_cell_length_c 18.1912
_cell_angle_alpha 90.00
_cell_angle_beta 90.00
_cell_angle_gamma 120.00
loop_
_atom_site_label
_atom_site_type_symbol
_atom_site_fract_x
_atom_site_fract_y
_atom_site_fract_z
_atom_site_occupancy
Hf1 Hf 0.0000 0.0000 0.0000 1
Ga1 Ga 0.0000 0.0000 0.5000 1
N1 N 0.0000 0.0000 0.1109 1

| no. | E_tot (eV per cell) |
| --- | --- |
| 1 | -103.833 |
| 2 | -86.970 |